(1)
Compound: LiLaScOs
Source: Alexandria
Functional: GGA-PBE
Structure: optimized geometry

a = 4.878 Å, b = 4.878 Å, c = 4.878 Å
α = 60.00°, β = 60.00°, γ = 60.00°
Sites, in units of the cell vectors:
Li 0.000 0.000 0.000
La 0.750 0.750 0.750
Sc 0.250 0.250 0.250
Os 0.500 0.500 0.500

Computed properties:
Size of the total moment   0.00 μB/cell
Calculated total energy   -6.237 eV/atom
ΔH_f (0 K)   -136.8 meV/atom

---

(2)
Compound: Ac6ErS8
Source: Alexandria
Functional: GGA-PBE
Structure: optimized geometry

a = 8.539 Å, b = 8.539 Å, c = 8.539 Å
α = 60.00°, β = 60.00°, γ = 60.00°
Sites, in units of the cell vectors:
Ac 0.000 0.000 0.500
Ac 0.000 0.500 0.000
Ac 0.000 0.500 0.500
Ac 0.500 0.000 0.000
Ac 0.500 0.000 0.500
Ac 0.500 0.500 0.000
Er 0.000 0.000 0.000
S 0.231 0.231 0.769
S 0.231 0.769 0.231
S 0.231 0.769 0.769
S 0.250 0.250 0.250
S 0.750 0.750 0.750
S 0.769 0.231 0.231
S 0.769 0.231 0.769
S 0.769 0.769 0.231

Computed properties:
Size of the total moment   0.00 μB/cell
Calculated total energy   -6.189 eV/atom

---

(3)
Compound: SnBr2Cl6
Source: Alexandria
Functional: GGA-PBE
Structure: optimized geometry

a = 11.100 Å, b = 11.100 Å, c = 7.760 Å
α = 105.11°, β = 105.11°, γ = 82.59°
Sites, in units of the cell vectors:
Sn 0.141 0.859 0.750
Sn 0.859 0.141 0.250
Br 0.354 0.355 0.211
Br 0.355 0.354 0.711
Br 0.645 0.646 0.289
Br 0.646 0.645 0.789
Cl 0.054 0.156 0.453
Cl 0.156 0.054 0.953
Cl 0.169 0.705 0.912
Cl 0.257 0.451 0.461
Cl 0.295 0.831 0.588
Cl 0.451 0.257 0.961
Cl 0.549 0.743 0.039
Cl 0.705 0.169 0.412
Cl 0.743 0.549 0.539
Cl 0.831 0.295 0.088
Cl 0.844 0.946 0.047
Cl 0.946 0.844 0.547

Computed properties:
Size of the total moment   0.00 μB/cell
Calculated total energy   -2.576 eV/atom

---

(4)
Compound: Li2CaAgO
Source: Alexandria
Functional: GGA-PBE
Structure: optimized geometry

a = 4.308 Å, b = 4.308 Å, c = 4.584 Å
α = 90.00°, β = 90.00°, γ = 90.00°
Sites, in units of the cell vectors:
Li 0.000 0.500 0.000
Li 0.500 0.000 0.000
Ca 0.000 0.000 0.500
Ag 0.500 0.500 0.500
O 0.000 0.000 0.000

Computed properties:
Size of the total moment   0.53 μB/cell
Calculated total energy   -3.800 eV/atom

---

(5)
Compound: CaScSe2N
Source: Alexandria
Functional: GGA-PBE
Structure: optimized geometry

a = 5.390 Å, b = 5.390 Å, c = 4.304 Å
α = 90.00°, β = 90.00°, γ = 90.00°
Sites, in units of the cell vectors:
Ca 0.000 0.000 0.000
Sc 0.500 0.500 0.500
Se 0.000 0.500 0.000
Se 0.500 0.000 0.000
N 0.000 0.000 0.500

Computed properties:
Size of the total moment   2.01 μB/cell
Calculated total energy   -4.625 eV/atom
Energy above the lowest structure with this stoichiometry   931.6 meV/atom

---

(6)
Compound: Be2FeSbRh
Source: Alexandria
Functional: GGA-PBE
Structure: optimized geometry

a = 4.020 Å, b = 4.020 Å, c = 4.608 Å
α = 90.00°, β = 90.00°, γ = 90.00°
Sites, in units of the cell vectors:
Be 0.000 0.500 0.000
Be 0.500 0.000 0.000
Fe 0.000 0.000 0.000
Sb 0.000 0.000 0.500
Rh 0.500 0.500 0.500

Computed properties:
Size of the total moment   0.00 μB/cell
Calculated total energy   -4.903 eV/atom

---

What is the size of the total moment in the third record?
0.00 μB/cell

---

Among the records above, which one has the highest size of the total moment?
CaScSe2N

---

Please write out number 5 again, unchanged.
Compound: CaScSe2N
Source: Alexandria
Functional: GGA-PBE
Structure: optimized geometry

a = 5.390 Å, b = 5.390 Å, c = 4.304 Å
α = 90.00°, β = 90.00°, γ = 90.00°
Sites, in units of the cell vectors:
Ca 0.000 0.000 0.000
Sc 0.500 0.500 0.500
Se 0.000 0.500 0.000
Se 0.500 0.000 0.000
N 0.000 0.000 0.500

Computed properties:
Size of the total moment   2.01 μB/cell
Calculated total energy   -4.625 eV/atom
Energy above the lowest structure with this stoichiometry   931.6 meV/atom

---

Among the records above, which one has the lowest calculated total energy?
LiLaScOs